No. 1
This record from the Alexandria database describes a PBEsol-optimized structure of RbGaI2. The functional is SCAN.

E_form (uncorrected): -0.803 eV/atom
Total energy: -28.445 eV per atom
Space group: I-42d

abc: 9.773 9.773 9.773
angles: 135.66 135.66 64.51
Element x y z (fractional)
Rb (0.000, 0.000, 0.000)
Rb (0.750, 0.250, 0.500)
Ga (0.250, 0.750, 0.500)
Ga (0.500, 0.500, 0.000)
I (0.177, 0.625, 0.052)
I (0.375, 0.427, 0.552)
I (0.573, 0.125, 0.948)
I (0.875, 0.823, 0.448)



No. 2
This record from the Alexandria database describes a PBEsol-optimized structure of RbGaI3. The functional is SCAN.

E_form (uncorrected): -0.853 eV/atom
Total energy: -30.315 eV per atom
Space group: Pm-3m

abc: 5.742 5.742 5.742
angles: 90.00 90.00 90.00
Element x y z (fractional)
Rb (0.000, 0.000, 0.000)
Ga (0.500, 0.500, 0.500)
I (0.000, 0.500, 0.500)
I (0.500, 0.000, 0.500)
I (0.500, 0.500, 0.000)



No. 3
This record from the Alexandria database describes a PBEsol-optimized structure of ScGaReI2. The functional is SCAN.

E_form (uncorrected): 0.819 eV/atom
Total energy: -34.214 eV per atom
Space group: P4/mmm

abc: 5.642 5.642 4.993
angles: 90.00 90.00 90.00
Element x y z (fractional)
Sc (0.000, 0.000, 0.000)
Ga (0.500, 0.500, 0.500)
Re (0.000, 0.000, 0.500)
I (0.000, 0.500, 0.000)
I (0.500, 0.000, 0.000)



Number 1: calculated density 3.0 g cm⁻³. Number 2: calculated density 4.7 g cm⁻³. Number 3: calculated density 5.8 g cm⁻³.